This record from the Alexandria database describes an optimized crystal structure of Er4MgZn5. The functional is PBE.

- Formation energy: -300.0 meV per atom

Cell lengths 3.5032, 3.5032, 17.3635 Å; angles 90.00, 90.00, 90.00 degrees
Last column: nearest neighbours and their distance in Å.
Sites, in units of the cell vectors:
1 Er 0.0000 0.0000 0.1025  8 Zn 3.04-3.05
2 Er 0.0000 0.0000 0.3070  8 Zn 3.05-3.08, 1 Mg 3.35
3 Er 0.0000 0.0000 0.6930  8 Zn 3.05-3.08, 1 Mg 3.35
4 Er 0.0000 0.0000 0.8975  8 Zn 3.04-3.05
5 Mg 0.0000 0.0000 0.5000  8 Zn 2.91
6 Zn 0.5000 0.5000 0.0000  8 Er 3.05
7 Zn 0.5000 0.5000 0.2043  8 Er 3.04-3.05
8 Zn 0.5000 0.5000 0.4124  4 Mg 2.91, 1 Zn 3.04, 4 Er 3.08
9 Zn 0.5000 0.5000 0.5876  4 Mg 2.91, 1 Zn 3.04, 4 Er 3.08
10 Zn 0.5000 0.5000 0.7957  8 Er 3.04-3.05

=====

This record from the Alexandria database describes an optimized crystal structure of Er2MgZn. The functional is PBE.

- Energy relative to the lowest polymorph listed for this composition: 0.13 eV/f.u.
- Formation energy: -173.3 meV per atom

Cell lengths 5.1508, 5.1508, 5.1508 Å; angles 60.00, 60.00, 60.00 degrees
Last column: nearest neighbours and their distance in Å.
Sites, in units of the cell vectors:
1 Er 0.2500 0.2500 0.2500  4 Zn 3.15, 4 Mg 3.15
2 Er 0.7500 0.7500 0.7500  4 Mg 3.15, 4 Zn 3.15
3 Mg 0.0000 0.0000 0.0000  8 Er 3.15
4 Zn 0.5000 0.5000 0.5000  8 Er 3.15

=====

This record from the Alexandria database describes an optimized crystal structure of ErMg3Zn8. The functional is PBE.

- Energy relative to the lowest polymorph listed for this composition: 0.00 eV/f.u.
- Formation energy: -187.8 meV per atom

Cell lengths 5.2321, 5.2321, 8.7420 Å; angles 90.00, 90.00, 120.00 degrees
Last column: nearest neighbours and their distance in Å.
Sites, in units of the cell vectors:
1 Er 0.0000 0.0000 0.0000  12 Zn 3.06-3.12, 4 Mg 3.24-3.27
2 Mg 0.0000 0.0000 0.3746  12 Zn 3.05-3.10, 3 Mg 3.21, 1 Er 3.27
3 Mg 0.6667 0.3333 0.4988  12 Zn 3.04-3.08, 4 Mg 3.21-3.22
4 Mg 0.6667 0.3333 0.8668  12 Zn 3.06-3.23, 1 Mg 3.22, 3 Er 3.24
5 Zn 0.1634 0.3268 0.6856  6 Zn 2.56-2.71
6 Zn 0.1634 0.8366 0.6856  6 Zn 2.56-2.71
7 Zn 0.3333 0.6667 0.4444  6 Zn 2.61-2.67
8 Zn 0.3333 0.6667 0.9407  6 Zn 2.70-2.71
9 Zn 0.5026 0.0051 0.1949  6 Zn 2.58-2.70
10 Zn 0.5026 0.4974 0.1949  6 Zn 2.58-2.70
11 Zn 0.6732 0.8366 0.6856  6 Zn 2.56-2.71
12 Zn 0.9949 0.4974 0.1949  6 Zn 2.58-2.70

=====

This record from the Alexandria database describes an optimized crystal structure of ErMg2Zn2. The functional is PBE.

- Energy relative to the lowest polymorph listed for this composition: 0.00 eV/f.u.
- Formation energy: -129.1 meV per atom

Cell lengths 4.7347, 4.7487, 9.8111 Å; angles 90.00, 90.06, 90.00 degrees
Last column: nearest neighbours and their distance in Å.
Sites, in units of the cell vectors:
1 Er 0.2502 0.2500 0.1790  6 Zn 2.88-2.95
2 Er 0.7498 0.7500 0.8210  6 Zn 2.88-2.95
3 Mg 0.2500 0.2500 0.5138  4 Zn 2.74-2.90
4 Mg 0.2499 0.2500 0.8309  6 Zn 2.89-2.93, 1 Mg 3.11
5 Mg 0.7501 0.7500 0.1691  6 Zn 2.89-2.93, 1 Mg 3.11
6 Mg 0.7500 0.7500 0.4862  4 Zn 2.74-2.90
7 Zn 0.2502 0.7500 0.0005  4 Mg 2.89-2.90, 4 Er 2.95
8 Zn 0.2500 0.7500 0.3444  6 Mg 2.74-2.93, 2 Er 2.88
9 Zn 0.7500 0.2500 0.6556  6 Mg 2.74-2.93, 2 Er 2.88
10 Zn 0.7498 0.2500 0.9995  4 Mg 2.89-2.90, 4 Er 2.95

=====

This record from the Alexandria database describes an optimized crystal structure of ErMg2Zn6. The functional is PBE.

- Energy relative to the lowest polymorph listed for this composition: 0.00 eV/f.u.
- Formation energy: -164.1 meV per atom

Cell lengths 7.7427, 7.7427, 3.1671 Å; angles 90.00, 90.00, 120.00 degrees
Last column: nearest neighbours and their distance in Å.
Sites, in units of the cell vectors:
1 Er 0.0000 0.0000 0.0000  12 Zn 3.05, 2 Er 3.17
2 Mg 0.3333 0.6667 0.0000  12 Zn 3.02, 2 Mg 3.17
3 Mg 0.6667 0.3333 0.0000  12 Zn 3.02, 2 Mg 3.17
4 Zn 0.0000 0.3368 0.5000  3 Zn 2.53-2.61
5 Zn 0.0000 0.6632 0.5000  3 Zn 2.53-2.61
6 Zn 0.3368 0.0000 0.5000  3 Zn 2.53-2.61
7 Zn 0.3368 0.3368 0.5000  3 Zn 2.53-2.61
8 Zn 0.6632 0.0000 0.5000  3 Zn 2.53-2.61
9 Zn 0.6632 0.6632 0.5000  3 Zn 2.53-2.61

=====

This record from the Alexandria database describes an optimized crystal structure of Er2Mg3Zn4. The functional is PBE.

- Formation energy: -181.8 meV per atom

Cell lengths 8.9435, 8.9435, 7.4815 Å; angles 90.00, 90.00, 141.48 degrees
Last column: nearest neighbours and their distance in Å.
Sites, in units of the cell vectors:
1 Er 0.0942 0.9058 0.8970  7 Zn 3.04-3.38, 3 Mg 3.37
2 Er 0.4058 0.5942 0.3970  7 Zn 3.04-3.38, 3 Mg 3.37
3 Er 0.5942 0.4058 0.6030  7 Zn 3.04-3.38, 3 Mg 3.37
4 Er 0.9058 0.0942 0.1030  7 Zn 3.04-3.38, 3 Mg 3.37
5 Mg 0.0000 0.0000 0.5000  6 Zn 2.69
6 Mg 0.0115 0.4885 0.7500  5 Zn 2.79-2.86, 2 Mg 2.95
7 Mg 0.4885 0.0115 0.2500  5 Zn 2.79-2.86, 2 Mg 2.95
8 Mg 0.5000 0.5000 0.0000  6 Zn 2.69
9 Mg 0.5115 0.9885 0.7500  5 Zn 2.79-2.86, 2 Mg 2.95
10 Mg 0.9885 0.5115 0.2500  5 Zn 2.79-2.86, 2 Mg 2.95
11 Zn 0.1592 0.8408 0.5183  5 Mg 2.69-2.86, 2 Zn 2.88
12 Zn 0.1765 0.3235 0.7500  3 Mg 2.69-2.79, 4 Zn 2.88-2.95
13 Zn 0.3235 0.1765 0.2500  3 Mg 2.69-2.79, 4 Zn 2.88-2.95
14 Zn 0.3408 0.6592 0.0183  5 Mg 2.69-2.86, 2 Zn 2.88
15 Zn 0.6592 0.3408 0.9817  5 Mg 2.69-2.86, 2 Zn 2.88
16 Zn 0.6765 0.8235 0.7500  3 Mg 2.69-2.79, 4 Zn 2.88-2.95
17 Zn 0.8235 0.6765 0.2500  3 Mg 2.69-2.79, 4 Zn 2.88-2.95
18 Zn 0.8408 0.1592 0.4817  5 Mg 2.69-2.86, 2 Zn 2.88

=====

This record from the Alexandria database describes an optimized crystal structure of ErMgZrZn. The functional is PBE.

- Energy relative to the lowest polymorph listed for this composition: 0.20 eV/f.u.
- Formation energy: -74.1 meV per atom

Cell lengths 4.9824, 4.9824, 4.9824 Å; angles 60.00, 60.00, 60.00 degrees
Last column: nearest neighbours and their distance in Å.
Sites, in units of the cell vectors:
1 Er 0.0000 0.0000 0.0000  4 Mg 3.05, 4 Zn 3.05
2 Mg 0.2500 0.2500 0.2500  4 Zr 3.05, 4 Er 3.05
3 Zr 0.5000 0.5000 0.5000  4 Mg 3.05, 4 Zn 3.05
4 Zn 0.7500 0.7500 0.7500  4 Zr 3.05, 4 Er 3.05

=====

This record from the Alexandria database describes an optimized crystal structure of ErMgZrZn. The functional is PBE.

- Energy relative to the lowest polymorph listed for this composition: 0.00 eV/f.u.
- Formation energy: -123.1 meV per atom

Cell lengths 3.4797, 3.4797, 7.3131 Å; angles 90.00, 90.00, 90.00 degrees
Last column: nearest neighbours and their distance in Å.
Sites, in units of the cell vectors:
1 Er 0.0000 0.0000 0.0000  4 Zn 3.05, 4 Mg 3.24, 1 Zr 3.37
2 Mg 0.5000 0.5000 0.2873  4 Zr 3.07, 4 Er 3.24, 1 Zn 3.40
3 Zr 0.0000 0.0000 0.5388  4 Zn 2.92, 4 Mg 3.07
4 Zn 0.5000 0.5000 0.7528  4 Zr 2.92, 4 Er 3.05

=====

This record from the Alexandria database describes an optimized crystal structure of ErMgZr2. The functional is PBE.

- Energy relative to the lowest polymorph listed for this composition: 0.88 eV/f.u.
- Formation energy: 297.6 meV per atom

Cell lengths 11.7025, 11.7025, 11.7025 Å; angles 15.70, 15.70, 15.70 degrees
Last column: nearest neighbours and their distance in Å.
Sites, in units of the cell vectors:
1 Er 0.0000 0.0000 0.0000  6 Er 3.20, 6 Zr 3.31
2 Mg 0.5000 0.5000 0.5000  2 Zr 3.03, 6 Mg 3.20
3 Zr 0.4125 0.4125 0.4125  1 Mg 3.03, 6 Zr 3.20, 3 Er 3.31
4 Zr 0.5875 0.5875 0.5875  1 Mg 3.03, 6 Zr 3.20, 3 Er 3.31

=====

This record from the Alexandria database describes an optimized crystal structure of ErMgZr2. The functional is PBE.

- Energy relative to the lowest polymorph listed for this composition: 0.01 eV/f.u.
- Formation energy: 80.7 meV per atom

Cell lengths 4.5553, 4.5553, 4.6414 Å; angles 90.00, 90.00, 90.00 degrees
Last column: nearest neighbours and their distance in Å.
Sites, in units of the cell vectors:
1 Er 0.0000 0.0000 0.0000  4 Mg 3.22, 8 Zr 3.25
2 Mg 0.5000 0.5000 0.0000  4 Er 3.22, 8 Zr 3.25
3 Zr 0.0000 0.5000 0.5000  4 Zr 3.22, 4 Mg 3.25, 4 Er 3.25
4 Zr 0.5000 0.0000 0.5000  4 Zr 3.22, 4 Mg 3.25, 4 Er 3.25

=====

Question: What is the formation energy in the third record?
Answer: -187.8 meV per atom

=====

Question: Which value of formation energy does entry 8 give?
Answer: -123.1 meV per atom